one | PBE-GGA CsMg3Pb, optimized geometry; calculated density = 2668 kg/m³; M_tot = 0.0 μB per formula unit
1.0
6.3584 0.0000 0.0000
0.0000 6.3584 0.0000
0.0000 0.0000 6.3584
Cs Mg Pb
1 3 1
Cartesian
0.0000 0.0000 0.0000
0.0000 0.0000 3.1792
0.0000 3.1792 0.0000
3.1792 0.0000 0.0000
3.1792 3.1792 3.1792

***

two | PBE-GGA CsMg3Pb, optimized geometry; calculated density = 3295 kg/m³; M_tot = 0.0 μB per formula unit
1.0
5.9266 0.0000 0.0000
0.0000 5.9266 0.0000
0.0000 0.0000 5.9266
Mg Pb Cs
3 1 1
Cartesian
2.9633 0.0000 0.0000
0.0000 0.0000 2.9633
0.0000 2.9633 0.0000
0.0000 0.0000 0.0000
2.9633 2.9633 2.9633

***

two comes first in stability; the runner-up is 86.7 kJ/mol of atoms higher.

***

one | PBE-GGA Cs2MgPd, optimized geometry; calculated density = 3835 kg/m³; M_tot = 0.0 μB per formula unit
1.0
1.3358 -5.9590 1.2766
-4.1679 -3.5626 2.9766
-2.9372 -4.5788 -3.0547
Cs Mg Pd
2 1 1
Cartesian
-4.3270 -10.5753 0.8988
-1.4423 -3.5251 0.2996
0.0000 0.0000 0.0000
-2.8847 -7.0502 0.5992

***

two | PBE-GGA Cs2MgPd, optimized geometry; calculated density = 2940 kg/m³; M_tot = 0.0 μB per formula unit
1.0
-0.1239 10.5275 7.7666
3.7466 -7.4131 10.1081
4.3188 2.0213 8.3483
Pd Cs Mg
2 4 2
Cartesian
0.0000 0.0000 0.0000
3.0031 7.0530 12.5261
3.3036 5.8769 15.7855
1.4490 7.9971 9.5612
3.9433 3.9787 11.1987
3.3168 10.3594 13.5589
1.8114 1.5572 8.9373
4.9384 -1.9173 13.6968

***

two comes first in stability; the runner-up is 26.4 kJ/mol of atoms higher.

***

one | PBE-GGA CsMgPd3, optimized geometry; calculated density = 5189 kg/m³; M_tot = 0.0 μB per formula unit
1.0
5.3424 0.0000 0.0000
0.0000 5.3424 0.0000
0.0000 0.0000 5.3424
Mg Cs Pd
1 1 3
Cartesian
2.6712 2.6712 2.6712
0.0000 0.0000 0.0000
0.0000 0.0000 2.6712
2.6712 0.0000 0.0000
0.0000 2.6712 0.0000

***

two | PBE-GGA CsMgPd3, optimized geometry; calculated density = 6353 kg/m³; M_tot = 0.0 μB per formula unit
1.0
-0.0429 -4.4770 -2.2121
2.2105 -2.0007 4.0062
-4.4778 -0.9447 1.9989
Cs Pd Mg
1 3 1
Cartesian
-1.1551 -3.7112 1.8965
-2.2389 -0.4724 0.9994
-0.0215 -2.2385 -1.1061
1.1052 -1.0003 2.0031
0.0000 0.0000 0.0000

***

two comes first in stability; the runner-up is 93.2 kJ/mol of atoms higher.